[1]
VASP calculation (GGA-PBE) on CaPbCN2 after structural relaxation.

Output
* density: 3.86 g/cm³
* uncorrected energy: -20.603 eV per formula unit

a = 4.8598 Å, b = 5.2319 Å, c = 4.8598 Å
α = 90.00°, β = 90.00°, γ = 90.00°
Each line ends with the local moment (μB).
Fractional positions:
N  0.5000  0.0000  0.0000  1.12
Pb  0.5000  0.5000  0.5000  -0.07
N  0.0000  0.0000  0.5000  1.34
C  0.0000  0.5000  0.0000  0.96
Ca  0.0000  0.0000  0.0000  0.09

***

[2]
VASP calculation (GGA-PBE) on Pm2ZrAlPt6 after structural relaxation.

Output
* formation energy from the elements: -0.8598 eV/atom
* density: 11.60 g/cm³
* uncorrected energy: -66.635 eV per formula unit

a = 5.6875 Å, b = 8.7081 Å, c = 8.7084 Å
α = 38.12°, β = 70.95°, γ = 90.01°
Fractional positions:
Pm  0.7044  0.2952  0.5909
Pt  0.7478  0.7567  0.0091
Pt  0.2427  0.2515  0.5140
Pt  0.2522  0.2433  0.9909
Pt  0.7573  0.2434  0.9910
Al  0.0000  0.0000  0.0000
Zr  0.5000  0.5000  0.0000
Pm  0.2956  0.7048  0.4091
Pt  0.7573  0.7485  0.4860
Pt  0.2427  0.7566  0.0090